Arrangement one

Here is a geometry-optimized VReN2F structure from Alexandria. Energies are from GGA+U.

It has space group P4/mmm (No. 123), with a = 3.910 Å, b = 3.910 Å, c = 4.044 Å, α = 90.00°, β = 90.00° and γ = 90.00°. The inequivalent atoms are V at (0.000, 0.000, 0.000), Re at (0.500, 0.500, 0.500), N at (0.000, 0.500, 0.500) and F at (0.500, 0.500, 0.000).

Its crystal system is tetragonal. Its density of states at the Fermi level is 6.47 states/eV per cell. The calculation puts the density at 7.6 g/cm3.



Arrangement two

Here is a geometry-optimized VReN2F structure from Alexandria. Energies are from GGA+U.

It has space group P4/mmm (No. 123), with a = 3.915 Å, b = 3.915 Å, c = 3.730 Å, α = 90.00°, β = 90.00° and γ = 90.00°. The inequivalent atoms are V at (0.000, 0.000, 0.000), Re at (0.500, 0.500, 0.500), N at (0.000, 0.500, 0.000) and F at (0.000, 0.000, 0.500).

Its crystal system is tetragonal. Its density of states at the Fermi level is 3.06 states/eV per cell. The calculation puts the density at 8.3 g/cm3.



Going by the energies, arrangement one is most stable and the next is 316 meV/atom up.